RbCuTe3Os | PBE-GGA | optimized geometry

The structure in POSCAR format:
```
RbCuTe3Os
1.0
2.023 -8.180 0.000
2.023 8.180 0.000
0.000 0.000 10.316
Rb Cu Te Os
2 2 6 2
Cartesian
2.023 4.296 7.737
2.023 -4.296 2.579
2.023 0.562 2.579
2.023 -0.562 7.737
2.023 7.075 2.579
2.023 1.764 0.354
2.023 1.764 4.804
2.023 -1.764 5.512
2.023 -1.764 9.962
2.023 -7.075 7.737
0.000 0.000 0.000
0.000 0.000 5.158
```

Properties
**Raw total energy**: -0.1597 hartree per atom